## CdRh2Au (PBE)

Data for a relaxed structure of CdRh2Au.

## Properties
The calculation puts the formation energy at 128 meV per atom. The value obtained for the calculated volume is 67 Å³ per cell. The electronic total energy is -4.60 eV per atom.

Cell lengths 3.3024, 3.3024, 6.0982 Å; angles 90.00, 90.00, 90.00 degrees
With the nearest neighbours (Å) after each atom.
Space group P4/mmm (No. 123)
Asymmetric unit:
Cd: 0.0000 0.0000 0.0000 (multiplicity 1)  8 Rh 2.81, 2 Au 3.05
Rh: 0.5000 0.5000 0.2577 (multiplicity 2)  4 Au 2.76, 4 Cd 2.81, 1 Rh 2.96
Au: 0.0000 0.0000 0.5000 (multiplicity 1)  8 Rh 2.76, 2 Cd 3.05